Record 1
Density functional theory data (PBE) for Dy4HgS3 after structural relaxation.

Properties
**E_form (uncorrected)**: -12.4 eV per formula unit

a = 3.928 Å, b = 7.006 Å, c = 7.006 Å
α = 108.68°, β = 90.00°, γ = 90.00°
Sites, in units of the cell vectors:
1 S 0.000 0.000 0.500
2 S 0.500 0.500 0.500
3 S 0.000 0.500 0.000
4 Hg 0.500 0.000 0.000
5 Dy 0.000 0.265 0.265
6 Dy 0.500 0.743 0.257
7 Dy 0.000 0.735 0.735
8 Dy 0.500 0.257 0.743

Record 2
Density functional theory data (PBE) for Pr2CoNi3Ge4 after structural relaxation.

Properties
**Energy of formation from the pure elements**: -63 kJ per mole of atoms

a = 4.162 Å, b = 4.162 Å, c = 9.810 Å
α = 90.00°, β = 90.00°, γ = 90.00°
Sites, in units of the cell vectors:
1 Pr 0.500 0.000 0.250
2 Pr 0.000 0.500 0.750
3 Co 0.500 0.500 0.500
4 Ni 0.000 0.000 0.500
5 Ni 0.500 0.000 0.874
6 Ni 0.000 0.500 0.126
7 Ge 0.500 0.500 0.000
8 Ge 0.000 0.000 0.000
9 Ge 0.500 0.000 0.627
10 Ge 0.000 0.500 0.373

Record 3
Density functional theory data (PBE) for TbDy2Ni after structural relaxation.

Properties
**Energy of formation from the pure elements**: -24 kJ per mole of atoms

a = 6.325 Å, b = 6.851 Å, c = 9.589 Å
α = 90.00°, β = 90.00°, γ = 90.00°
Sites, in units of the cell vectors:
1 Tb 0.640 0.533 0.250
2 Tb 0.860 0.033 0.250
3 Tb 0.360 0.467 0.750
4 Tb 0.140 0.967 0.750
5 Dy 0.177 0.678 0.066
6 Dy 0.323 0.178 0.434
7 Dy 0.823 0.322 0.566
8 Dy 0.677 0.822 0.934
9 Dy 0.823 0.322 0.934
10 Dy 0.677 0.822 0.566
11 Dy 0.177 0.678 0.434
12 Dy 0.323 0.178 0.066
13 Ni 0.058 0.390 0.250
14 Ni 0.442 0.890 0.250
15 Ni 0.942 0.610 0.750
16 Ni 0.558 0.110 0.750

Record 4
Density functional theory data (PBE) for TbMgAs2 after structural relaxation.

Properties
**Energy of formation from the pure elements**: -63 kJ per mole of atoms

a = 4.958 Å, b = 4.958 Å, c = 4.958 Å
α = 60.00°, β = 60.00°, γ = 60.00°
Sites, in units of the cell vectors:
1 As 0.250 0.250 0.250
2 As 0.750 0.750 0.750
3 Tb 0.000 0.000 0.000
4 Mg 0.500 0.500 0.500

Record 5
Density functional theory data (PBE) for La2UCuS5 after structural relaxation.

Properties
**E_form (uncorrected)**: -14.8 eV per formula unit

a = 3.937 Å, b = 8.530 Å, c = 12.195 Å
α = 90.00°, β = 90.00°, γ = 103.34°
Sites, in units of the cell vectors:
1 La 0.881 0.763 0.845
2 La 0.116 0.232 0.695
3 La 0.119 0.237 0.345
4 La 0.884 0.768 0.195
5 U 0.818 0.637 0.527
6 U 0.182 0.363 0.027
7 Cu 0.551 0.101 0.921
8 Cu 0.449 0.899 0.421
9 S 0.346 0.692 0.021
10 S 0.687 0.374 0.867
11 S 0.493 0.986 0.753
12 S 0.301 0.603 0.683
13 S 0.979 0.958 0.513
14 S 0.654 0.308 0.521
15 S 0.313 0.626 0.367
16 S 0.507 0.014 0.253
17 S 0.699 0.397 0.183
18 S 0.021 0.042 0.013

Record 6
Density functional theory data (PBE) for CeScFe after structural relaxation.

Properties
**Energy of formation from the pure elements**: 0 kJ per mole of atoms

a = 3.134 Å, b = 3.134 Å, c = 6.683 Å
α = 103.56°, β = 103.56°, γ = 90.00°
Sites, in units of the cell vectors:
1 Sc 0.293 0.293 0.586
2 Fe 0.673 0.673 0.345
3 Ce 0.035 0.035 0.069

no.,magnetic moment (μB/f.u.)
1,0.0
2,1.0
3,0.0
4,0.0
5,2.5
6,0.6